1.
VASP calculation (PBE) on a relaxed NdHo2CdHg4 crystal.

As for the formation energy: -3.2 eV/f.u. The final energy comes out at -2.4114 eV per atom.

It has space group R-3m (No. 166, hexagonal axes), with a = 5.1079 Å, b = 5.1079 Å, c = 27.0816 Å, α = 90.00°, β = 90.00° and γ = 120.00°. The inequivalent atoms are Nd at (0.0000, 0.0000, 0.0000), Ho at (0.0000, 0.0000, 0.2399), Cd at (0.0000, 0.0000, 0.5000), Hg at (0.0000, 0.0000, 0.1241) and Hg at (0.0000, 0.0000, 0.3787).

2.
VASP calculation (PBE) on a relaxed HoCdNiHg crystal.

As for the formation energy: -0.8 eV/f.u. The final energy comes out at -3.1054 eV per atom.

It has space group F-43m (No. 216), with a = 6.868 Å, b = 6.868 Å, c = 6.868 Å, α = 90.00°, β = 90.00° and γ = 90.00°. The inequivalent atoms are Ho at (0.000, 0.000, 0.000), Cd at (0.000, 0.000, 0.500), Ni at (0.250, 0.250, 0.250) and Hg at (0.250, 0.250, 0.750).

3.
VASP calculation (PBE) on a relaxed HoPaCdHg crystal.

As for the formation energy: 0.1 eV/f.u. The final energy comes out at -3.7895 eV per atom.

It has space group F-43m (No. 216), with a = 7.467 Å, b = 7.467 Å, c = 7.467 Å, α = 90.00°, β = 90.00° and γ = 90.00°. The inequivalent atoms are Ho at (0.000, 0.000, 0.000), Pa at (0.000, 0.000, 0.500), Cd at (0.250, 0.250, 0.250) and Hg at (0.250, 0.250, 0.750).

4.
VASP calculation (PBE) on a relaxed HoCd2Hg4Pb crystal.

As for the formation energy: -0.1 eV/f.u. The final energy comes out at -1.4286 eV per atom.

It has space group P4/mmm (No. 123), with a = 5.057 Å, b = 5.057 Å, c = 8.877 Å, α = 90.00°, β = 90.00° and γ = 90.00°. The inequivalent atoms are Ho at (0.000, 0.000, 0.000), Cd at (0.500, 0.500, 0.348), Hg at (0.000, 0.500, 0.193) and Pb at (0.000, 0.000, 0.500).

5.
VASP calculation (PBE) on a relaxed Ho2CdHgPd4 crystal.

As for the formation energy: -5.7 eV/f.u. The final energy comes out at -4.6110 eV per atom.

It has space group R-3m (No. 166, hexagonal axes), with a = 4.7743 Å, b = 4.7743 Å, c = 23.5110 Å, α = 90.00°, β = 90.00° and γ = 120.00°. The inequivalent atoms are Ho at (0.0000, 0.0000, 0.2487), Cd at (0.0000, 0.0000, 0.0000), Hg at (0.0000, 0.0000, 0.5000), Pd at (0.0000, 0.0000, 0.1236) and Pd at (0.0000, 0.0000, 0.3727).

6.
VASP calculation (PBE) on a relaxed HoCdHgPd crystal.

As for the formation energy: -2.0 eV/f.u. The final energy comes out at -3.2549 eV per atom.

It has space group F-43m (No. 216), with a = 6.971 Å, b = 6.971 Å, c = 6.971 Å, α = 90.00°, β = 90.00° and γ = 90.00°. The inequivalent atoms are Ho at (0.000, 0.000, 0.000), Cd at (0.000, 0.000, 0.500), Hg at (0.250, 0.250, 0.250) and Pd at (0.250, 0.250, 0.750).

7.
VASP calculation (PBE) on a relaxed PmHoCdHg crystal.

As for the formation energy: -1.6 eV/f.u. The final energy comes out at -3.0250 eV per atom.

It has space group F-43m (No. 216), with a = 7.539 Å, b = 7.539 Å, c = 7.539 Å, α = 90.00°, β = 90.00° and γ = 90.00°. The inequivalent atoms are Pm at (0.000, 0.000, 0.000), Ho at (0.000, 0.000, 0.500), Cd at (0.250, 0.250, 0.750) and Hg at (0.250, 0.250, 0.250).

8.
VASP calculation (PBE) on a relaxed PrHo2Cd2Hg2 crystal.

As for the formation energy: -1.8 eV/f.u. The final energy comes out at -2.5912 eV per atom.

It has space group R-3m (No. 166, hexagonal axes), with a = 4.9691 Å, b = 4.9691 Å, c = 26.6542 Å, α = 90.00°, β = 90.00° and γ = 120.00°. The inequivalent atoms are Pr at (0.0000, 0.0000, 0.0000), Ho at (0.0000, 0.0000, 0.1264), Cd at (0.0000, 0.0000, 0.2542) and Hg at (0.0000, 0.0000, 0.4044).

9.
VASP calculation (PBE) on a relaxed PrHoCd2Hg4 crystal.

As for the formation energy: -3.1 eV/f.u. The final energy comes out at -1.9347 eV per atom.

It has space group R-3m (No. 166, hexagonal axes), with a = 5.1412 Å, b = 5.1412 Å, c = 25.3669 Å, α = 90.00°, β = 90.00° and γ = 120.00°. The inequivalent atoms are Pr at (0.0000, 0.0000, 0.0000), Ho at (0.0000, 0.0000, 0.5000), Cd at (0.0000, 0.0000, 0.2502), Hg at (0.0000, 0.0000, 0.1281) and Hg at (0.0000, 0.0000, 0.3788).

10.
VASP calculation (PBE) on a relaxed Ho4CdHg2Pt crystal.

As for the formation energy: -5.2 eV/f.u. The final energy comes out at -3.8811 eV per atom.

It has space group R-3m (No. 166, hexagonal axes), with a = 5.1650 Å, b = 5.1650 Å, c = 25.2003 Å, α = 90.00°, β = 90.00° and γ = 120.00°. The inequivalent atoms are Ho at (0.0000, 0.0000, 0.1154), Ho at (0.0000, 0.0000, 0.3683), Cd at (0.0000, 0.0000, 0.5000), Hg at (0.0000, 0.0000, 0.2398) and Pt at (0.0000, 0.0000, 0.0000).

11.
VASP calculation (PBE) on a relaxed HoPuCd2Hg4 crystal.

As for the formation energy: -2.0 eV/f.u. The final energy comes out at -2.9956 eV per atom.

It has space group R-3m (No. 166, hexagonal axes), with a = 5.1197 Å, b = 5.1197 Å, c = 25.1433 Å, α = 90.00°, β = 90.00° and γ = 120.00°. The inequivalent atoms are Ho at (0.0000, 0.0000, 0.0000), Pu at (0.0000, 0.0000, 0.5000), Cd at (0.0000, 0.0000, 0.2493), Hg at (0.0000, 0.0000, 0.1230) and Hg at (0.0000, 0.0000, 0.3734).

12.
VASP calculation (PBE) on a relaxed HoSc2CdHg4 crystal.

As for the formation energy: -2.8 eV/f.u. The final energy comes out at -2.7694 eV per atom.

It has space group R-3m (No. 166, hexagonal axes), with a = 5.0130 Å, b = 5.0130 Å, c = 25.1663 Å, α = 90.00°, β = 90.00° and γ = 120.00°. The inequivalent atoms are Ho at (0.0000, 0.0000, 0.0000), Sc at (0.0000, 0.0000, 0.2439), Cd at (0.0000, 0.0000, 0.5000), Hg at (0.0000, 0.0000, 0.1232) and Hg at (0.0000, 0.0000, 0.3725).

13.
VASP calculation (PBE) on a relaxed SmHoCd2Hg4 crystal.

As for the formation energy: -3.0 eV/f.u. The final energy comes out at -1.9202 eV per atom.

It has space group R-3m (No. 166, hexagonal axes), with a = 5.1137 Å, b = 5.1137 Å, c = 25.1494 Å, α = 90.00°, β = 90.00° and γ = 120.00°. The inequivalent atoms are Sm at (0.0000, 0.0000, 0.0000), Ho at (0.0000, 0.0000, 0.5000), Cd at (0.0000, 0.0000, 0.2503), Hg at (0.0000, 0.0000, 0.1268) and Hg at (0.0000, 0.0000, 0.3772).

14.
VASP calculation (PBE) on a relaxed Sm2HoCdHg4 crystal.

As for the formation energy: -3.6 eV/f.u. The final energy comes out at -2.4651 eV per atom.

It has space group R-3m (No. 166, hexagonal axes), with a = 5.1945 Å, b = 5.1945 Å, c = 26.2338 Å, α = 90.00°, β = 90.00° and γ = 120.00°. The inequivalent atoms are Sm at (0.0000, 0.0000, 0.2422), Ho at (0.0000, 0.0000, 0.0000), Cd at (0.0000, 0.0000, 0.5000), Hg at (0.0000, 0.0000, 0.1215) and Hg at (0.0000, 0.0000, 0.3679).

15.
VASP calculation (PBE) on a relaxed Tb2HoCdHg4 crystal.

As for the formation energy: -3.5 eV/f.u. The final energy comes out at -2.4356 eV per atom.

It has space group R-3m (No. 166, hexagonal axes), with a = 5.1524 Å, b = 5.1524 Å, c = 25.9522 Å, α = 90.00°, β = 90.00° and γ = 120.00°. The inequivalent atoms are Tb at (0.0000, 0.0000, 0.2427), Ho at (0.0000, 0.0000, 0.0000), Cd at (0.0000, 0.0000, 0.5000), Hg at (0.0000, 0.0000, 0.1219) and Hg at (0.0000, 0.0000, 0.3688).

16.
VASP calculation (PBE) on a relaxed TbHoCdHg crystal.

As for the formation energy: -1.6 eV/f.u. The final energy comes out at -3.0015 eV per atom.

It has space group F-43m (No. 216), with a = 7.461 Å, b = 7.461 Å, c = 7.461 Å, α = 90.00°, β = 90.00° and γ = 90.00°. The inequivalent atoms are Tb at (0.000, 0.000, 0.000), Ho at (0.000, 0.000, 0.500), Cd at (0.250, 0.250, 0.750) and Hg at (0.250, 0.250, 0.250).

17.
VASP calculation (PBE) on a relaxed Ho2ThCdHg4 crystal.

As for the formation energy: -2.6 eV/f.u. The final energy comes out at -2.6624 eV per atom.

It has space group R-3m (No. 166, hexagonal axes), with a = 5.0793 Å, b = 5.0793 Å, c = 27.5355 Å, α = 90.00°, β = 90.00° and γ = 120.00°. The inequivalent atoms are Ho at (0.0000, 0.0000, 0.2400), Th at (0.0000, 0.0000, 0.0000), Cd at (0.0000, 0.0000, 0.5000), Hg at (0.0000, 0.0000, 0.1252) and Hg at (0.0000, 0.0000, 0.3802).

18.
VASP calculation (PBE) on a relaxed HoTiCdHg crystal.

As for the formation energy: -0.5 eV/f.u. The final energy comes out at -3.5435 eV per atom.

It has space group F-43m (No. 216), with a = 7.101 Å, b = 7.101 Å, c = 7.101 Å, α = 90.00°, β = 90.00° and γ = 90.00°. The inequivalent atoms are Ho at (0.000, 0.000, 0.000), Ti at (0.000, 0.000, 0.500), Cd at (0.250, 0.250, 0.750) and Hg at (0.250, 0.250, 0.250).

19.
VASP calculation (PBE) on a relaxed HoTlCdHg crystal.

As for the formation energy: -1.0 eV/f.u. As for the energy above the most stable polymorph in this dataset: 16 meV/atom. The final energy comes out at -2.2965 eV per atom.

It has space group F-43m (No. 216), with a = 7.323 Å, b = 7.323 Å, c = 7.323 Å, α = 90.00°, β = 90.00° and γ = 90.00°. The inequivalent atoms are Ho at (0.000, 0.000, 0.000), Tl at (0.250, 0.250, 0.750), Cd at (0.000, 0.000, 0.500) and Hg at (0.250, 0.250, 0.250).

20.
VASP calculation (PBE) on a relaxed Ho4TlCd2Hg crystal.

As for the formation energy: -2.9 eV/f.u. The final energy comes out at -3.2111 eV per atom.

It has space group R-3m (No. 166, hexagonal axes), with a = 5.2778 Å, b = 5.2778 Å, c = 25.8861 Å, α = 90.00°, β = 90.00° and γ = 120.00°. The inequivalent atoms are Ho at (0.0000, 0.0000, 0.1234), Ho at (0.0000, 0.0000, 0.3734), Tl at (0.0000, 0.0000, 0.5000), Cd at (0.0000, 0.0000, 0.2497) and Hg at (0.0000, 0.0000, 0.0000).